1.
## SnHgI (PBE-GGA)

Data for a relaxed SnHgI crystal.

Computed properties:
ΔE to the lowest computed polymorph   0 meV per atom
Crystal system   tetragonal
Uncorrected energy   -2.084 eV per atom
Magnetic moment   0.00 μB/f.u.
ΔE_f (raw)   -0.13 eV per atom

Cell and atoms, written as CIF:
```
data_SnHgI
_cell_length_a 4.2967
_cell_length_b 4.2967
_cell_length_c 12.5556
_cell_angle_alpha 90.00
_cell_angle_beta 90.00
_cell_angle_gamma 90.00
_symmetry_space_group_name_H-M 'I 4 m m'
_symmetry_Int_Tables_number 107
_symmetry_space_group_name_Hall 'I 4 -2'
loop_
_atom_site_label
_atom_site_type_symbol
_atom_site_fract_x
_atom_site_fract_y
_atom_site_fract_z
Sn1 Sn 0.0000 0.0000 0.0000
Hg1 Hg 0.0000 0.0000 0.4957
I1 I 0.0000 0.0000 0.2250
```



2.
## Sn2HgI (PBE-GGA)

Data for a relaxed Sn2HgI crystal.

Computed properties:
ΔE to the lowest computed polymorph   69 meV per atom
Crystal system   cubic
Uncorrected energy   -2.290 eV per atom
Magnetic moment   0.00 μB/f.u.
ΔE_f (raw)   0.17 eV per atom

Cell and atoms, written as CIF:
```
data_Sn2HgI
_cell_length_a 7.7664
_cell_length_b 7.7664
_cell_length_c 7.7664
_cell_angle_alpha 90.00
_cell_angle_beta 90.00
_cell_angle_gamma 90.00
_symmetry_space_group_name_H-M 'F m -3 m'
_symmetry_Int_Tables_number 225
_symmetry_space_group_name_Hall '-F 4 2 3'
loop_
_atom_site_label
_atom_site_type_symbol
_atom_site_fract_x
_atom_site_fract_y
_atom_site_fract_z
Sn1 Sn 0.2500 0.2500 0.2500
Hg1 Hg 0.0000 0.0000 0.0000
I1 I 0.0000 0.0000 0.5000
```



3.
## SnHg14I (PBE-GGA)

Data for a relaxed SnHg14I crystal.

Computed properties:
Crystal system   orthorhombic
Uncorrected energy   -0.608 eV per atom
Magnetic moment   0.00 μB/f.u.
ΔE_f (raw)   0.00 eV per atom

Cell and atoms, written as CIF:
```
data_SnHg14I
_cell_length_a 10.2942
_cell_length_b 6.4720
_cell_length_c 14.2681
_cell_angle_alpha 90.00
_cell_angle_beta 90.00
_cell_angle_gamma 90.00
_symmetry_space_group_name_H-M 'A m m 2'
_symmetry_Int_Tables_number 38
_symmetry_space_group_name_Hall 'A 2 -2'
loop_
_atom_site_label
_atom_site_type_symbol
_atom_site_fract_x
_atom_site_fract_y
_atom_site_fract_z
Sn1 Sn 0.0000 0.0000 0.0000
Hg1 Hg 0.0000 0.2331 0.3218
Hg2 Hg 0.2098 0.0000 0.1764
Hg3 Hg 0.2487 0.0000 0.7458
Hg4 Hg 0.2790 0.2434 0.4629
Hg5 Hg 0.5000 0.0000 0.0908
Hg6 Hg 0.5000 0.0000 0.5972
Hg7 Hg 0.5000 0.2365 0.3061
I1 I 0.0000 0.0000 0.5799
```